Compound: SrBiCl2
Source: Alexandria via LeMat-Bulk
Functional: GGA-PBE
Structure: optimized geometry

- formation energy from raw total energies (meV per atom) = -1384
- relative energy among the computed polymorphs (meV/atom) = 0

Cell: 12.6744 12.6744 12.6744 Å, 18.02 18.02 18.02°
Closest atoms and distances in Å follow each position.
Positions (direct):
Sr1 0.5000 0.5000 0.5000  6 Cl 2.83
Bi1 0.0000 0.0000 0.0000  6 Bi 3.97
Cl1 0.8780 0.8780 0.8780  3 Sr 2.83
Cl2 0.1220 0.1220 0.1220  3 Sr 2.83

***

Compound: Li4Hg3Au4
Source: Alexandria via LeMat-Bulk
Functional: GGA-PBE
Structure: optimized geometry

- uncorrected energy (eV for the cell shown) = -24.8

Cell: 4.2179 7.0302 8.1255 Å, 115.63 105.04 90.00°
Closest atoms and distances in Å follow each position.
Positions (direct):
Li1 0.2036 0.7036 0.4072  6 Au 2.60-2.65, 1 Hg 2.86
Li2 0.7964 0.2964 0.5928  6 Au 2.60-2.65, 1 Hg 2.86
Li3 0.5000 0.7926 0.0000  2 Au 2.55
Li4 0.5000 0.2074 0.0000  2 Au 2.55
Hg1 0.1157 0.1157 0.2314  6 Li 3.03-3.30, 6 Au 3.06-3.26, 1 Hg 3.25
Hg2 0.8843 0.8843 0.7686  6 Li 3.03-3.30, 6 Au 3.06-3.26, 1 Hg 3.25
Hg3 0.0000 0.5000 0.0000  6 Li 2.86-2.95
Au1 0.3230 0.1144 0.6460  4 Li 2.55-2.65
Au2 0.6770 0.4684 0.3540  4 Li 2.55-2.65
Au3 0.6770 0.8856 0.3540  4 Li 2.55-2.65
Au4 0.3230 0.5316 0.6460  4 Li 2.55-2.65

***

Compound: NaTe4Pd2
Source: Alexandria via LeMat-Bulk
Functional: GGA-PBE
Structure: optimized geometry

- formation energy from raw total energies (meV per atom) = -325
- relative energy among the computed polymorphs (meV/atom) = 48

Cell: 8.3750 8.3749 8.3534 Å, 119.84 119.86 90.47°
Closest atoms and distances in Å follow each position.
Positions (direct):
Na1 0.2506 0.7496 0.5000  4 Te 2.96
Na2 0.9994 0.0003 0.0000  4 Te 2.96
Te1 0.8545 0.1460 0.2885  3 Pd 2.74-2.75, 1 Na 2.96
Te2 0.3955 0.6040 0.2115  3 Pd 2.74-2.75, 1 Na 2.96
Te3 0.8576 0.5667 0.7118  3 Pd 2.75, 1 Na 2.96
Te4 0.8540 0.1455 0.7116  3 Pd 2.74-2.75, 1 Na 2.96
Te5 0.4332 0.1423 0.2880  3 Pd 2.75, 1 Na 2.96
Te6 0.3924 0.1833 0.7882  3 Pd 2.75, 1 Na 2.96
Te7 0.3960 0.6045 0.7884  3 Pd 2.74-2.75, 1 Na 2.96
Te8 0.8168 0.6077 0.2120  3 Pd 2.75, 1 Na 2.96
Pd1 0.6250 0.3750 0.7500  6 Te 2.74-2.75
Pd2 0.6250 0.8750 0.2500  6 Te 2.74-2.75
Pd3 0.6250 0.3750 0.2500  6 Te 2.74-2.75
Pd4 0.1250 0.3750 0.7500  6 Te 2.75

***

Compound: AlRhBr2
Source: Alexandria via LeMat-Bulk
Functional: GGA-PBE
Structure: optimized geometry

- formation energy from raw total energies (meV per atom) = -132
- relative energy among the computed polymorphs (meV/atom) = 243

Cell: 6.4102 6.4102 6.4102 Å, 151.18 99.98 87.17°
Closest atoms and distances in Å follow each position.
Positions (direct):
Rh1 0.4813 0.4813 0.0000  2 Br 2.41, 2 Al 2.50
Al1 0.2737 0.7737 0.5000  2 Br 2.48, 2 Rh 2.50
Br1 0.0689 0.0689 0.0000  2 Al 2.48
Br2 0.6761 0.1761 0.5000  2 Rh 2.41